# 1
DFT (GGA-PBE) results for Sr12Si5Sn after structural relaxation.

abc: 9.383 9.383 9.383
angles: 105.57 113.00 109.93
Each line ends with the local moment (μB).
Atoms (fractional coordinates):
Sr 0.197 0.425 0.228  0.06
Si 0.374 0.374 0.000  0.02
Sr 0.803 0.031 0.228  0.06
Sr 0.695 0.325 0.020  0.05
Sr 0.305 0.325 0.631  0.05
Si 0.500 0.108 0.608  0.01
Sr 0.543 0.819 0.723  0.05
Si 0.000 0.000 0.000  0.03
Sr 0.197 0.969 0.772  0.06
Si 0.626 0.626 0.000  0.02
Sr 0.803 0.575 0.772  0.06
Sr 0.457 0.181 0.277  0.05
Sr 0.305 0.675 0.980  0.05
Si 0.500 0.892 0.392  0.01
Sr 0.695 0.675 0.369  0.05
Sn 0.000 0.500 0.500  0.04
Sr 0.904 0.181 0.723  0.05
Sr 0.096 0.819 0.277  0.05

Computed properties:
- Symmetry: Immm
- Raw formation energy: -0.344 eV/atom
- Raw total energy: -3.19 eV/atom

---

# 2
DFT (GGA-PBE) results for SrSiSn3 after structural relaxation.

abc: 5.922 5.922 5.922
angles: 90.00 90.00 90.00
Each line ends with the local moment (μB).
Atoms (fractional coordinates):
Si 0.500 0.500 0.500  -0.04
Sn 0.000 0.500 0.000  0.10
Sn 0.000 0.000 0.500  0.09
Sn 0.500 0.000 0.000  0.09
Sr 0.000 0.000 0.000  0.10

Computed properties:
- Symmetry: Pm-3m
- Raw formation energy: 1.296 eV/atom
- Raw total energy: -2.53 eV/atom

---

# 3
DFT (GGA-PBE) results for Sr2SiSn after structural relaxation.

abc: 5.573 5.573 5.573
angles: 60.00 60.00 60.00
Atoms (fractional coordinates):
Si 0.000 0.000 0.000
Sn 0.500 0.500 0.500
Sr 0.250 0.250 0.250
Sr 0.750 0.750 0.750

Computed properties:
- Symmetry: Fm-3m
- Raw formation energy: -0.308 eV/atom
- Raw total energy: -3.51 eV/atom

---

# 4
DFT (GGA-PBE) results for SrSiSn after structural relaxation.

abc: 5.364 4.311 7.471
angles: 90.00 90.41 90.00
Atoms (fractional coordinates):
Si 0.394 0.500 0.145
Sr 0.000 0.000 0.000
Sn 0.415 0.000 0.685
Sn 0.585 0.000 0.315
Si 0.606 0.500 0.855
Sr 0.000 0.500 0.500

Computed properties:
- Symmetry: P2/m
- Raw formation energy: -0.371 eV/atom
- Raw total energy: -4.07 eV/atom